[1]
Ce2ThZr PBE-GGA optimized geometry; space-group type = P4/mmm; ΔE to the lowest computed polymorph = 19 meV per atom; magnetic moment = 0.0 μB/f.u.; formation enthalpy at 0 K = 0.09 eV per atom
1.0
5.037 0.000 0.000
0.000 4.684 0.000
0.000 0.000 4.684
Zr Ce Th
1 2 1
Cartesian
2.519 0.000 0.000
0.000 0.000 2.342
0.000 2.342 0.000
2.519 2.342 2.342

---

[2]
Ce14ThZr PBE-GGA optimized geometry; space-group type = Amm2; magnetic moment = 0.0 μB/f.u.; formation enthalpy at 0 K = 0.11 eV per atom
1.0
-2.909 2.603 -5.177
-3.159 -4.165 -3.836
-9.225 1.519 5.947
Ce Th Zr
14 1 1
Cartesian
-7.682 -0.980 -1.343
-7.556 2.432 -2.019
-4.525 -0.627 -6.860
-9.140 -0.101 -3.830
-1.502 0.151 -2.369
-6.130 0.674 0.641
-11.613 -0.897 -2.151
-6.867 -1.679 -5.211
-8.490 -0.094 2.488
-3.744 -0.875 -0.572
-9.871 -1.783 0.270
-5.579 -2.490 -2.498
-9.740 1.623 -0.409
-5.458 0.918 -3.169
-3.061 -1.520 -4.360
-2.936 1.868 -5.032

---

[3]
Ce6ThZr PBE-GGA optimized geometry; space-group type = P4/mmm; magnetic moment = 0.0 μB/f.u.; formation enthalpy at 0 K = 0.06 eV per atom
1.0
4.765 0.000 0.000
0.000 4.765 0.000
0.000 0.000 9.512
Ce Th Zr
6 1 1
Cartesian
2.382 2.382 0.000
2.382 2.382 4.756
2.382 0.000 2.420
2.382 0.000 7.092
0.000 2.382 2.420
0.000 2.382 7.092
0.000 0.000 0.000
0.000 0.000 4.756

---

[4]
CeThZr2 PBE-GGA optimized geometry; space-group type = P4/mmm; ΔE to the lowest computed polymorph = 52 meV per atom; magnetic moment = 0.0 μB/f.u.; formation enthalpy at 0 K = 0.17 eV per atom
1.0
-0.783 3.140 2.253
-2.513 -2.160 2.138
5.143 -1.771 4.255
Zr Ce Th
2 1 1
Cartesian
4.000 -1.377 3.309
1.143 -0.394 0.946
-1.648 0.490 2.196
0.924 -0.395 4.323

---

| no. | calculated total energy (eV per cell) |
| --- | --- |
| 1 | -27.46 |
| 2 | -97.24 |
| 3 | -51.12 |
| 4 | -29.76 |